(1)
{"formula": "Mo2PW", "functional": "PBE-GGA", "state": "optimized geometry", "lattice": [[0.0000, 3.0989, 3.0989], [3.0989, 0.0000, 3.0989], [3.0989, 3.0989, 0.0000]], "species": ["Mo", "Mo", "P", "W"], "fractional_positions": [[0.0000, 0.0000, 0.0000], [0.7500, 0.7500, 0.7500], [0.5000, 0.5000, 0.5000], [0.2500, 0.2500, 0.2500]], "crystal_system": "cubic", "magmom_total_mub_per_cell": 0.00, "n_ef_per_ev_atom": 0.53, "formation_enthalpy_0k_mev_per_atom": 236, "spacegroup": "F-43m (216)"}

=====

(2)
{"formula": "MoP2W", "functional": "PBE-GGA", "state": "optimized geometry", "lattice": [[3.1174, 0.0000, 0.0000], [0.0000, 4.9617, 0.0000], [0.0000, 0.0000, 3.8019]], "species": ["Mo", "P", "P", "W"], "fractional_positions": [[0.0000, 0.5000, 0.5000], [0.0000, 0.0000, 0.0000], [0.5000, 0.5000, 0.0000], [0.5000, 0.0000, 0.5000]], "crystal_system": "orthorhombic", "magmom_total_mub_per_cell": 0.00, "n_ef_per_ev_atom": 0.78, "formation_enthalpy_0k_mev_per_atom": 221, "polymorph_energy_mev_per_atom": 603, "spacegroup": "Pmmm (47)"}

=====

(3)
{"formula": "MoP2W", "functional": "PBE-GGA", "state": "optimized geometry", "lattice": [[-3.6307, -2.0107, -3.5961], [1.2592, -2.9524, -4.4559], [0.2719, 0.6060, 5.4512]], "species": ["Mo", "P", "P", "W"], "fractional_positions": [[0.2355, 0.7355, 0.5000], [0.0248, 0.0248, 0.0000], [0.7259, 0.2259, 0.5000], [0.5138, 0.5138, 0.0000]], "crystal_system": "orthorhombic", "magmom_total_mub_per_cell": 0.00, "n_ef_per_ev_atom": 0.57, "formation_enthalpy_0k_mev_per_atom": -86, "polymorph_energy_mev_per_atom": 296, "spacegroup": "Imm2 (44)"}

=====

(4)
{"formula": "Mo2PW", "functional": "PBE-GGA", "state": "optimized geometry", "lattice": [[8.0521, -1.4900, -0.0376], [8.0521, 1.4900, -0.0376], [7.7883, 0.0000, 2.5297]], "species": ["Mo", "Mo", "P", "W"], "fractional_positions": [[0.0005, 0.0005, 0.0005], [0.7565, 0.7565, 0.7565], [0.5005, 0.5005, 0.5005], [0.2425, 0.2425, 0.2425]], "crystal_system": "trigonal", "magmom_total_mub_per_cell": 0.00, "n_ef_per_ev_atom": 0.69, "formation_enthalpy_0k_mev_per_atom": 186, "spacegroup": "R3m (160)"}

=====

(5)
{"formula": "MoP2W", "functional": "PBE-GGA", "state": "optimized geometry", "lattice": [[4.3552, 0.0000, 0.0000], [2.1776, 3.7717, 0.0000], [2.1776, 1.2572, 3.5560]], "species": ["Mo", "P", "P", "W"], "fractional_positions": [[0.5000, 0.5000, 0.5000], [0.0000, 0.0000, 0.0000], [0.2500, 0.2500, 0.2500], [0.7500, 0.7500, 0.7500]], "crystal_system": "cubic", "magmom_total_mub_per_cell": 0.00, "n_ef_per_ev_atom": 0.76, "formation_enthalpy_0k_mev_per_atom": 403, "polymorph_energy_mev_per_atom": 785, "spacegroup": "F-43m (216)"}

=====

(6)
{"formula": "MoP3W", "functional": "PBE-GGA", "state": "optimized geometry", "lattice": [[4.6828, 0.0000, 0.0000], [0.0000, 4.6828, 0.0000], [0.0000, 0.0000, 4.6828]], "species": ["P", "P", "P", "Mo", "W"], "fractional_positions": [[0.0000, 0.5000, 0.0000], [0.0000, 0.0000, 0.5000], [0.5000, 0.0000, 0.0000], [0.5000, 0.5000, 0.5000], [0.0000, 0.0000, 0.0000]], "crystal_system": "cubic", "magmom_total_mub_per_cell": 3.64, "n_ef_per_ev_atom": 0.62, "formation_enthalpy_0k_mev_per_atom": 1027, "polymorph_energy_mev_per_atom": 0, "spacegroup": "Pm-3m (221)"}

=====

(7)
{"formula": "MoPW2", "functional": "PBE-GGA", "state": "optimized geometry", "lattice": [[-4.1648, 1.3538, 0.4991], [0.0844, -2.8853, 3.3310], [0.9669, 2.2614, 1.9343]], "species": ["Mo", "P", "W", "W"], "fractional_positions": [[0.0000, 0.0000, 0.5000], [0.5000, 0.5000, 0.5000], [0.5000, 0.0000, 0.0000], [0.0000, 0.5000, 0.0000]], "crystal_system": "orthorhombic", "magmom_total_mub_per_cell": 0.00, "n_ef_per_ev_atom": 0.96, "formation_enthalpy_0k_mev_per_atom": 260, "spacegroup": "Cmmm (65)"}

=====

(8)
{"formula": "MoPW2", "functional": "PBE-GGA", "state": "optimized geometry", "lattice": [[4.0708, 0.0000, 0.0000], [0.0000, 2.9829, -0.0226], [0.0000, 0.0397, 5.0383]], "species": ["Mo", "P", "W", "W"], "fractional_positions": [[0.0000, 0.0000, 0.5113], [0.5000, 0.5001, 0.7467], [0.0000, 0.9999, 0.9957], [0.5000, 0.5000, 0.2463]], "crystal_system": "orthorhombic", "magmom_total_mub_per_cell": 0.00, "n_ef_per_ev_atom": 0.60, "formation_enthalpy_0k_mev_per_atom": 157, "spacegroup": "Pmm2 (25)"}

=====

(9)
{"formula": "MoPW", "functional": "PBE-GGA", "state": "optimized geometry", "lattice": [[2.7215, 3.2278, 0.5532], [-3.7975, 0.7007, -1.7942], [-1.1349, 0.5110, 2.6017]], "species": ["Mo", "P", "W"], "fractional_positions": [[0.0000, 0.0000, 0.0567], [0.6667, 0.3333, 0.4655], [0.3333, 0.6667, 0.4778]], "crystal_system": "trigonal", "magmom_total_mub_per_cell": 0.00, "n_ef_per_ev_atom": 0.79, "formation_enthalpy_0k_mev_per_atom": 28, "polymorph_energy_mev_per_atom": 274, "spacegroup": "P3m1 (156)"}

=====

(10)
{"formula": "MoPW2", "functional": "PBE-GGA", "state": "optimized geometry", "lattice": [[-3.2799, 0.5884, 1.8528], [-0.0055, -3.6367, 1.1450], [2.9809, 0.8123, 8.9421]], "species": ["P", "P", "Mo", "Mo", "W", "W", "W", "W"], "fractional_positions": [[0.5000, 0.5000, 0.0000], [0.2500, 0.7500, 0.5000], [0.0000, 0.0000, 0.0000], [0.7500, 0.2500, 0.5000], [0.5936, 0.1250, 0.2500], [0.1564, 0.6250, 0.2500], [0.3750, 0.4064, 0.7500], [0.8750, 0.8436, 0.7500]], "crystal_system": "tetragonal", "magmom_total_mub_per_cell": 0.00, "n_ef_per_ev_atom": 0.72, "formation_enthalpy_0k_mev_per_atom": 619, "spacegroup": "I-42d (122)"}

=====

(11)
{"formula": "Mo2PW", "functional": "PBE-GGA", "state": "optimized geometry", "lattice": [[1.6309, -2.3160, 0.0000], [1.6309, 2.3160, 0.0000], [0.0000, 0.0000, 8.0213]], "species": ["Mo", "Mo", "P", "W"], "fractional_positions": [[0.0000, 0.0000, 0.2735], [0.0000, 0.0000, 0.7265], [0.5000, 0.5000, 0.5000], [0.5000, 0.5000, 0.0000]], "crystal_system": "orthorhombic", "magmom_total_mub_per_cell": 0.00, "n_ef_per_ev_atom": 0.94, "formation_enthalpy_0k_mev_per_atom": 58, "spacegroup": "Cmmm (65)"}

=====

(12)
{"formula": "Mo2PW", "functional": "PBE-GGA", "state": "optimized geometry", "lattice": [[-4.3468, 2.4463, 1.3005], [-2.0948, 3.4017, -3.2573], [1.8312, -4.8173, -0.1051]], "species": ["Mo", "Mo", "P", "W"], "fractional_positions": [[0.7500, 0.2500, 0.5000], [0.2500, 0.7500, 0.5000], [0.5000, 0.5000, 0.0000], [0.0000, 0.0000, 0.0000]], "crystal_system": "tetragonal", "magmom_total_mub_per_cell": 0.00, "n_ef_per_ev_atom": 0.79, "formation_enthalpy_0k_mev_per_atom": 137, "spacegroup": "I4/mmm (139)"}